This record from Alexandria via LeMat-Bulk describes a relaxed structure of Te2RhSe. The functional is PBE. Values from VASP.

## Properties
ΔE_f (raw) in kJ/mol of atoms: 4.6
Electronic total energy in eV/atom: -4.2323
Space group: No. 139
Magnetic moment in μB per cell: 0.00
D(E_F) in states/eV per cell: 1.66

Structure (Quantum ESPRESSO input):
```
&SYSTEM
  ibrav = 0, nat = 4, ntyp = 3
/
ATOMIC_SPECIES
Te 127.60 Te.upf
Se 78.96 Se.upf
Rh 102.91 Rh.upf
ATOMIC_POSITIONS angstrom
Te 0.000 0.000 0.000
Te -2.668 1.068 -0.680
Se -3.270 1.288 2.040
Rh -1.631 3.663 -0.660
CELL_PARAMETERS angstrom
-1.029 3.443 -3.380
-4.307 -1.306 2.020
-2.233 3.883 2.059
```